The following is a PBE-GGA calculation of a geometry-optimized Tb2Y6TmSc3 structure, from Alexandria via LeMat-Bulk.

- Symmetry: C2/m (12)

Lattice parameters (Å, degrees): 6.0585 6.0585 11.5041 95.03 95.03 119.97
Atoms (fractional coordinates):
Y 0.4194 0.0863 0.2587
Y 0.0863 0.4194 0.2587
Sc 0.1664 0.8336 0.5000
Y 0.2467 0.2467 0.7413
Tm 0.0000 0.0000 0.0000
Y 0.9137 0.5806 0.7413
Tb 0.6667 0.3333 0.0000
Sc 0.8336 0.1664 0.5000
Y 0.7533 0.7533 0.2587
Tb 0.3333 0.6667 0.0000
Y 0.5806 0.9137 0.7413
Sc 0.5000 0.5000 0.5000

***

The following is a PBE-GGA calculation of a geometry-optimized ZrTaNi2 structure, from Alexandria via LeMat-Bulk.

- Symmetry: P2/m (10)

Lattice parameters (Å, degrees): 3.1226 3.1171 7.1776 64.33 90.00 90.00
Atoms (fractional coordinates):
Ta 0.5000 0.2500 0.2500
Zr 0.5000 0.7500 0.7500
Ni 0.0000 0.5412 0.4594
Ni 0.0000 0.9588 0.0406

***

The following is a PBE-GGA calculation of a geometry-optimized PrNd15In4 structure, from Alexandria via LeMat-Bulk.

- Symmetry: P4/mmm (123)

Lattice parameters (Å, degrees): 4.9980 4.9980 25.5674 90.00 90.00 90.00
Atoms (fractional coordinates):
Nd 0.5000 0.0000 0.5000
Nd 0.5000 0.5000 0.5983
In 0.0000 0.0000 0.2063
Nd 0.0000 0.5000 0.6960
In 0.0000 0.0000 0.4022
Nd 0.5000 0.0000 0.3040
Nd 0.5000 0.0000 0.8928
Pr 0.0000 0.0000 0.0000
Nd 0.5000 0.0000 0.1072
Nd 0.0000 0.5000 0.5000
Nd 0.5000 0.5000 0.0000
Nd 0.5000 0.5000 0.4017
Nd 0.0000 0.5000 0.3040
Nd 0.5000 0.5000 0.7933
Nd 0.5000 0.5000 0.2067
In 0.0000 0.0000 0.7937
Nd 0.0000 0.5000 0.1072
In 0.0000 0.0000 0.5978
Nd 0.0000 0.5000 0.8928
Nd 0.5000 0.0000 0.6960

***

Result set for formation enthalpy at 0 K: 0.052; -0.241; -0.210 eV/atom, one per record in the order listed.